Material: Tm12Sb3C5
Method: DFT, PBE-GGA
State: relaxed

total magnetization = 0.01 Bohr magnetons per cell
N(E_F) = 115.328 states/eV/cell
energy relative to the elements, uncorrected = -0.4088 eV per atom

Cell and atoms, written as CIF:
```
data_Tm12Sb3C5
_space_group_name_H-M_alt 'I a -3 d'
_space_group_IT_number 230
_space_group_name_Hall '-I 4bd 2c 3'
_cell_length_a 15.564
_cell_length_b 15.564
_cell_length_c 15.564
_cell_angle_alpha 90.00
_cell_angle_beta 90.00
_cell_angle_gamma 90.00
loop_
_atom_site_label
_atom_site_fract_x
_atom_site_fract_y
_atom_site_fract_z
_atom_site_occupancy
Tm1 0.036 0.051 0.647 1
Sb1 0.000 0.250 0.125 1
C1 0.000 0.000 0.000 1
C2 0.000 0.250 0.375 1
```